Below is crystalline Ca2RuW at its relaxed geometry, with properties calculated at the PBE level.

Fermi-level density of states = 4.77 states/eV per cell
M_tot = 0.00 μB per cell
final energy = -6.288 eV/atom
E_form = 6.2 kcal/mol of atoms
SG = P4mm (99)
volume = 96.81 Å³/cell
energy above the most stable polymorph in this dataset = 0.000 eV per atom

The structure in CIF format:
```
data_Ca2RuW
_cell_length_a 3.254
_cell_length_b 3.254
_cell_length_c 9.141
_cell_angle_alpha 90.00
_cell_angle_beta 90.00
_cell_angle_gamma 90.00
_space_group_name_H-M_alt 'P 1'
_space_group_IT_number 1
_space_group_name_Hall 'P 1'
loop_
_atom_site_label
_atom_site_fract_x
_atom_site_fract_y
_atom_site_fract_z
_atom_site_occupancy
Ca1 0.500 0.500 0.320 1
Ca2 0.000 0.000 0.936 1
W1 0.500 0.500 0.686 1
Ru1 0.000 0.000 0.558 1
```

Below is crystalline SrErTlBr6 at its relaxed geometry, with properties calculated at the PBE level.

Fermi-level density of states = 0.00 states/eV per cell
M_tot = 0.00 μB per cell
final energy = -3.816 eV/atom
SG = P-31c (163)
volume = 716.59 Å³/cell

The structure in CIF format:
```
data_SrErTlBr6
_cell_length_a 7.662
_cell_length_b 7.662
_cell_length_c 14.094
_cell_angle_alpha 90.00
_cell_angle_beta 90.00
_cell_angle_gamma 120.00
_space_group_name_H-M_alt 'P 1'
_space_group_IT_number 1
_space_group_name_Hall 'P 1'
loop_
_atom_site_label
_atom_site_fract_x
_atom_site_fract_y
_atom_site_fract_z
_atom_site_occupancy
Er1 0.667 0.333 0.250 1
Er2 0.333 0.667 0.750 1
Br1 0.647 0.027 0.365 1
Br2 0.353 0.973 0.635 1
Br3 0.973 0.353 0.135 1
Br4 0.973 0.620 0.365 1
Br5 0.027 0.380 0.635 1
Br6 0.380 0.027 0.135 1
Br7 0.647 0.620 0.135 1
Br8 0.027 0.647 0.865 1
Br9 0.353 0.380 0.865 1
Br10 0.620 0.647 0.635 1
Br11 0.620 0.973 0.865 1
Br12 0.380 0.353 0.365 1
Tl1 0.000 0.000 0.000 1
Tl2 0.000 0.000 0.500 1
Sr1 0.667 0.333 0.750 1
Sr2 0.333 0.667 0.250 1
```

Below is crystalline PmIn2As2Pd7 at its relaxed geometry, with properties calculated at the PBE level.

Fermi-level density of states = 4.80 states/eV per cell
M_tot = 0.00 μB per cell
final energy = -5.115 eV/atom
E_form = -10.6 kcal/mol of atoms
SG = C2/m (12)
volume = 239.54 Å³/cell

The structure in CIF format:
```
data_PmIn2As2Pd7
_cell_length_a 4.030
_cell_length_b 4.030
_cell_length_c 14.849
_cell_angle_alpha 85.30
_cell_angle_beta 85.30
_cell_angle_gamma 90.17
_space_group_name_H-M_alt 'P 1'
_space_group_IT_number 1
_space_group_name_Hall 'P 1'
loop_
_atom_site_label
_atom_site_fract_x
_atom_site_fract_y
_atom_site_fract_z
_atom_site_occupancy
Pd1 0.387 0.387 0.417 1
Pd2 0.613 0.613 0.583 1
Pd3 0.453 0.951 0.151 1
Pd4 0.500 0.500 0.000 1
Pd5 0.951 0.453 0.151 1
Pd6 0.547 0.049 0.849 1
Pd7 0.049 0.547 0.849 1
Pm1 0.000 0.000 0.000 1
As1 0.421 0.421 0.250 1
As2 0.579 0.579 0.750 1
In1 0.883 0.883 0.407 1
In2 0.117 0.117 0.593 1
```

Below is crystalline Rb3In3RuO8 at its relaxed geometry, with properties calculated at the PBE level.

Fermi-level density of states = 5.87 states/eV per cell
M_tot = 2.00 μB per cell
final energy = -5.396 eV/atom
SG = R-3m (166)
volume = 249.04 Å³/cell

The structure in CIF format:
```
data_Rb3In3RuO8
_cell_length_a 6.637
_cell_length_b 6.637
_cell_length_c 7.571
_cell_angle_alpha 116.01
_cell_angle_beta 90.00
_cell_angle_gamma 120.00
_space_group_name_H-M_alt 'P 1'
_space_group_IT_number 1
_space_group_name_Hall 'P 1'
loop_
_atom_site_label
_atom_site_fract_x
_atom_site_fract_y
_atom_site_fract_z
_atom_site_occupancy
In1 0.500 0.500 0.500 1
In2 0.000 0.500 0.500 1
In3 0.500 0.000 0.500 1
O1 0.252 0.044 0.336 1
O2 0.276 0.553 0.329 1
O3 0.792 0.044 0.336 1
O4 0.748 0.956 0.664 1
O5 0.724 0.447 0.671 1
O6 0.792 0.584 0.336 1
O7 0.208 0.416 0.664 1
O8 0.208 0.956 0.664 1
Rb1 0.500 0.500 0.000 1
Rb2 0.000 0.500 0.000 1
Rb3 0.000 0.000 0.000 1
Ru1 0.000 0.000 0.500 1
```

Below is crystalline Ho4Tm15Mg at its relaxed geometry, with properties calculated at the PBE level.

Fermi-level density of states = 25.44 states/eV per cell
M_tot = 0.00 μB per cell
final energy = -4.324 eV/atom
E_form = 0.6 kcal/mol of atoms
SG = P4/mmm (123)
volume = 597.91 Å³/cell

The structure in CIF format:
```
data_Ho4Tm15Mg
_cell_length_a 4.923
_cell_length_b 4.923
_cell_length_c 24.670
_cell_angle_alpha 90.00
_cell_angle_beta 90.00
_cell_angle_gamma 90.00
_space_group_name_H-M_alt 'P 1'
_space_group_IT_number 1
_space_group_name_Hall 'P 1'
loop_
_atom_site_label
_atom_site_fract_x
_atom_site_fract_y
_atom_site_fract_z
_atom_site_occupancy
Tm1 0.500 0.000 0.902 1
Tm2 0.500 0.000 0.500 1
Tm3 0.500 0.500 0.399 1
Tm4 0.500 0.000 0.098 1
Tm5 0.000 0.500 0.701 1
Tm6 0.500 0.500 0.601 1
Tm7 0.500 0.500 0.000 1
Tm8 0.500 0.000 0.701 1
Tm9 0.000 0.500 0.098 1
Tm10 0.000 0.500 0.500 1
Tm11 0.500 0.500 0.197 1
Tm12 0.500 0.000 0.299 1
Tm13 0.000 0.500 0.902 1
Tm14 0.500 0.500 0.803 1
Tm15 0.000 0.500 0.299 1
Ho1 0.000 0.000 0.802 1
Ho2 0.000 0.000 0.601 1
Ho3 0.000 0.000 0.399 1
Ho4 0.000 0.000 0.198 1
Mg1 0.000 0.000 0.000 1
```

Below is crystalline ScBiS at its relaxed geometry, with properties calculated at the PBE level.

Fermi-level density of states = 3.15 states/eV per cell
M_tot = 0.00 μB per cell
final energy = -5.873 eV/atom
SG = Pmmn (59)
volume = 154.76 Å³/cell
energy above the most stable polymorph in this dataset = 0.044 eV per atom

The structure in CIF format:
```
data_ScBiS
_cell_length_a 3.726
_cell_length_b 5.092
_cell_length_c 8.156
_cell_angle_alpha 90.00
_cell_angle_beta 90.00
_cell_angle_gamma 90.00
_space_group_name_H-M_alt 'P 1'
_space_group_IT_number 1
_space_group_name_Hall 'P 1'
loop_
_atom_site_label
_atom_site_fract_x
_atom_site_fract_y
_atom_site_fract_z
_atom_site_occupancy
Sc1 0.000 0.500 0.395 1
Sc2 0.500 0.000 0.605 1
S1 0.500 0.500 0.605 1
S2 0.000 0.000 0.395 1
Bi1 0.500 0.500 0.063 1
Bi2 0.000 0.000 0.937 1
```

Below is crystalline Ce3Si6Ni2Ru at its relaxed geometry, with properties calculated at the PBE level.

Fermi-level density of states = 16.52 states/eV per cell
M_tot = 1.15 μB per cell
final energy = -6.352 eV/atom
SG = P-3m1 (164)
volume = 220.10 Å³/cell

The structure in CIF format:
```
data_Ce3Si6Ni2Ru
_cell_length_a 5.879
_cell_length_b 5.879
_cell_length_c 7.354
_cell_angle_alpha 90.00
_cell_angle_beta 90.00
_cell_angle_gamma 120.00
_space_group_name_H-M_alt 'P 1'
_space_group_IT_number 1
_space_group_name_Hall 'P 1'
loop_
_atom_site_label
_atom_site_fract_x
_atom_site_fract_y
_atom_site_fract_z
_atom_site_occupancy
Si1 0.195 0.390 0.309 1
Si2 0.805 0.195 0.691 1
Si3 0.610 0.805 0.309 1
Si4 0.195 0.805 0.309 1
Si5 0.805 0.610 0.691 1
Si6 0.390 0.195 0.691 1
Ru1 0.000 0.000 0.500 1
Ce1 0.667 0.333 0.327 1
Ce2 0.333 0.667 0.673 1
Ce3 0.000 0.000 0.000 1
Ni1 0.333 0.667 0.056 1
Ni2 0.667 0.333 0.944 1
```

Below is crystalline BaIrRu4 at its relaxed geometry, with properties calculated at the PBE level.

Fermi-level density of states = 10.53 states/eV per cell
M_tot = 0.04 μB per cell
final energy = -7.094 eV/atom
E_form = 20.5 kcal/mol of atoms
SG = F-43m (216)
volume = 106.42 Å³/cell

The structure in CIF format:
```
data_BaIrRu4
_cell_length_a 5.319
_cell_length_b 5.319
_cell_length_c 5.319
_cell_angle_alpha 60.00
_cell_angle_beta 60.00
_cell_angle_gamma 60.00
_space_group_name_H-M_alt 'P 1'
_space_group_IT_number 1
_space_group_name_Hall 'P 1'
loop_
_atom_site_label
_atom_site_fract_x
_atom_site_fract_y
_atom_site_fract_z
_atom_site_occupancy
Ru1 0.374 0.374 0.879 1
Ru2 0.879 0.374 0.374 1
Ru3 0.374 0.879 0.374 1
Ru4 0.374 0.374 0.374 1
Ba1 0.750 0.750 0.750 1
Ir1 0.000 0.000 0.000 1
```

Below is crystalline Pr2TlRuO8 at its relaxed geometry, with properties calculated at the PBE level.

Fermi-level density of states = 3.12 states/eV per cell
M_tot = 1.03 μB per cell
final energy = -6.797 eV/atom
SG = P-1 (2)
volume = 175.81 Å³/cell

The structure in CIF format:
```
data_Pr2TlRuO8
_cell_length_a 4.961
_cell_length_b 4.712
_cell_length_c 7.557
_cell_angle_alpha 87.32
_cell_angle_beta 87.66
_cell_angle_gamma 94.32
_space_group_name_H-M_alt 'P 1'
_space_group_IT_number 1
_space_group_name_Hall 'P 1'
loop_
_atom_site_label
_atom_site_fract_x
_atom_site_fract_y
_atom_site_fract_z
_atom_site_occupancy
Ru1 0.000 0.000 0.000 1
O1 0.308 0.300 0.476 1
O2 0.253 0.292 0.052 1
O3 0.747 0.708 0.948 1
O4 0.741 0.127 0.176 1
O5 0.692 0.700 0.524 1
O6 0.113 0.769 0.201 1
O7 0.259 0.873 0.824 1
O8 0.887 0.231 0.799 1
Tl1 0.000 0.000 0.500 1
Pr1 0.548 0.580 0.238 1
Pr2 0.452 0.420 0.762 1
```

Below is crystalline SrLi2Ca2 at its relaxed geometry, with properties calculated at the PBE level.

Fermi-level density of states = 3.64 states/eV per cell
M_tot = 0.00 μB per cell
final energy = -1.819 eV/atom
E_form = 1.9 kcal/mol of atoms
SG = I4/mmm (139)
volume = 182.23 Å³/cell
energy above the most stable polymorph in this dataset = 0.060 eV per atom

The structure in CIF format:
```
data_SrLi2Ca2
_cell_length_a 3.934
_cell_length_b 3.934
_cell_length_c 12.101
_cell_angle_alpha 80.65
_cell_angle_beta 80.65
_cell_angle_gamma 90.00
_space_group_name_H-M_alt 'P 1'
_space_group_IT_number 1
_space_group_name_Hall 'P 1'
loop_
_atom_site_label
_atom_site_fract_x
_atom_site_fract_y
_atom_site_fract_z
_atom_site_occupancy
Ca1 0.630 0.630 0.740 1
Ca2 0.370 0.370 0.260 1
Li1 0.750 0.250 0.500 1
Li2 0.250 0.750 0.500 1
Sr1 0.000 0.000 0.000 1
```

Below is crystalline HgBSe3 at its relaxed geometry, with properties calculated at the PBE level.

M_tot = 0.00 μB per cell
final energy = -3.591 eV/atom
SG = P2_1/c (14)
volume = 540.34 Å³/cell
energy above the most stable polymorph in this dataset = 0.000 eV per atom

The structure in CIF format:
```
data_HgBSe3
_cell_length_a 5.551
_cell_length_b 10.307
_cell_length_c 10.324
_cell_angle_alpha 113.82
_cell_angle_beta 90.00
_cell_angle_gamma 90.00
_space_group_name_H-M_alt 'P 1'
_space_group_IT_number 1
_space_group_name_Hall 'P 1'
loop_
_atom_site_label
_atom_site_fract_x
_atom_site_fract_y
_atom_site_fract_z
_atom_site_occupancy
Hg1 0.495 0.610 0.887 1
Hg2 0.505 0.390 0.113 1
Hg3 0.995 0.890 0.613 1
Hg4 0.005 0.110 0.387 1
Se1 0.499 0.097 0.917 1
Se2 0.001 0.597 0.417 1
Se3 0.497 0.636 0.638 1
Se4 0.669 0.934 0.437 1
Se5 0.501 0.903 0.083 1
Se6 0.831 0.434 0.937 1
Se7 0.169 0.566 0.063 1
Se8 0.003 0.136 0.138 1
Se9 0.331 0.066 0.563 1
Se10 0.999 0.403 0.583 1
Se11 0.997 0.864 0.862 1
Se12 0.503 0.364 0.362 1
B1 0.255 0.999 0.999 1
B2 0.755 0.501 0.501 1
B3 0.745 0.001 0.001 1
B4 0.245 0.499 0.499 1
```

Below is crystalline Ac2HPt at its relaxed geometry, with properties calculated at the PBE level.

Fermi-level density of states = 2.72 states/eV per cell
M_tot = 0.00 μB per cell
final energy = -5.136 eV/atom
SG = R-3m (166)
volume = 108.64 Å³/cell
energy above the most stable polymorph in this dataset = 0.000 eV per atom

The structure in CIF format:
```
data_Ac2HPt
_cell_length_a 4.347
_cell_length_b 4.347
_cell_length_c 7.098
_cell_angle_alpha 72.17
_cell_angle_beta 72.17
_cell_angle_gamma 60.00
_space_group_name_H-M_alt 'P 1'
_space_group_IT_number 1
_space_group_name_Hall 'P 1'
loop_
_atom_site_label
_atom_site_fract_x
_atom_site_fract_y
_atom_site_fract_z
_atom_site_occupancy
H1 0.500 0.500 0.500 1
Pt1 0.000 0.000 0.000 1
Ac1 0.247 0.247 0.258 1
Ac2 0.753 0.753 0.742 1
```